The following is a DFT calculation (PBE) of a geometry-optimized ZrTcSe structure.

abc: 5.573 3.860 11.361
angles: 90.00 106.90 90.00
Fractional coordinates of all 12 atoms:
Zr  0.517  0.000  0.874
Zr  0.517  0.500  0.374
Zr  0.984  0.000  0.280
Zr  0.984  0.500  0.780
Tc  0.464  0.000  0.195
Tc  0.464  0.500  0.695
Tc  0.162  0.000  0.645
Tc  0.162  0.500  0.145
Se  0.686  0.000  0.602
Se  0.686  0.500  0.102
Se  0.090  0.000  0.967
Se  0.090  0.500  0.467

total magnetization: 0.0 μB per cell
VASP energy: -7.936 eV/atom